Below is a geometry-optimized BaAc2Cd structure, with properties calculated at the PBE level.

Calculated values
* calculated density: 6.74 g/cm³
* calculated formation energy: -9 kJ per mole of atoms
* magnetization: 0.00 μB per cell
* energy relative to the lowest polymorph listed for this composition: 0.00 kcal/mol of atoms
* symmetry: P4/mmm (123)

Structure (POSCAR):
```
BaAc2Cd
1.0
4.114 0.000 0.000
0.000 4.114 0.000
0.000 0.000 10.251
Ba Ac Cd
1 2 1
Direct
0.000 0.000 0.000
0.500 0.500 0.309
0.500 0.500 0.691
0.000 0.000 0.500
```